## K2ReRh (SCAN)

Data for a PBEsol-optimized structure of K2ReRh.

For the magnetization, the calculation gives 0.08 Bohr magnetons per cell. Its polymorph energy (0 for the lowest one) is 9 meV/atom. As for the formation energy: 738 meV/atom. The value obtained for the total energy is -118.6 eV/f.u.

The space group is P4mm (No. 99) and the conventional cell measures 3.1038, 3.1038 and 10.8072 Å, with angles of 90.00, 90.00 and 90.00 degrees. The asymmetric unit holds K at (0.0000, 0.0000, 0.0000), K at (0.5000, 0.5000, 0.4043), Re at (0.0000, 0.0000, 0.6508) and Rh at (0.5000, 0.5000, 0.7638).

## K2ReRh (SCAN)

Data for a PBEsol-optimized structure of K2ReRh.

For the magnetization, the calculation gives 0.45 Bohr magnetons per cell. Its polymorph energy (0 for the lowest one) is 0 meV/atom. As for the formation energy: 729 meV/atom. The value obtained for the total energy is -118.6 eV/f.u.

The space group is Immm (No. 71) and the conventional cell measures 2.8185, 4.2317 and 19.8494 Å, with angles of 90.00, 90.00 and 90.00 degrees. The asymmetric unit holds K at (0.0000, 0.0000, 0.1416), Re at (0.0000, 0.5000, 0.0000) and Rh at (0.0000, 0.5000, 0.5000).

## KReRu2 (SCAN)

Data for a PBEsol-optimized structure of KReRu2.

For the magnetization, the calculation gives 1.73 Bohr magnetons per cell. As for the formation energy: 1671 meV/atom. The value obtained for the total energy is -142.4 eV/f.u.

The space group is Pmmm (No. 47) and the conventional cell measures 2.7307, 4.6668 and 4.9975 Å, with angles of 90.00, 90.00 and 90.00 degrees. The asymmetric unit holds K at (0.0000, 0.0000, 0.0000), Re at (0.5000, 0.0000, 0.5000), Ru at (0.0000, 0.5000, 0.5000) and Ru at (0.5000, 0.5000, 0.0000).

## KReS2 (SCAN)

Data for a PBEsol-optimized structure of KReS2.

Its uncorrected formation energy is -0.238 eV per atom. For the magnetization, the calculation gives 6.37 Bohr magnetons per cell. The value obtained for the total energy is -99.6 eV/f.u.

The space group is R-3m (No. 166, hexagonal axes) and the conventional cell measures 3.5456, 3.5456 and 25.5867 Å, with angles of 90.00, 90.00 and 120.00 degrees. The asymmetric unit holds K at (0.0000, 0.0000, 0.0000), Re at (0.0000, 0.0000, 0.5000) and S at (0.0000, 0.0000, 0.1163).

The following DOS at the Fermi energy values (in states/eV/cell) correspond, in order, to the records above: 3.39, 7.83, 4.42, 4.20.